# SrZnCd2, relaxed, DFT PBE
data_SrZnCd2
_cell_length_a 3.758
_cell_length_b 3.758
_cell_length_c 7.460
_cell_angle_alpha 90.00
_cell_angle_beta 90.00
_cell_angle_gamma 92.44
_space_group_name_H-M_alt 'P 1'
_space_group_IT_number 1
loop_
_space_group_symop_operation_xyz
'x,y,z'
loop_
_atom_site_label
_atom_site_type_symbol
_atom_site_fract_x
_atom_site_fract_y
_atom_site_fract_z
Cd1 Cd 0.000 0.000 0.951
Cd2 Cd 0.000 0.000 0.549
Zn1 Zn 0.500 0.500 0.750
Sr1 Sr 0.500 0.500 0.250
# D(E_F) in states/eV per atom: 0.54
# Calculated density in g cm⁻³: 5.96
# Magnetic moment in μB per formula unit: 0.00
# Energy of formation from the pure elements in eV/atom: -0.110
# Volume in Å³/atom: 26.3

***

# Sr12Zn5Cd, relaxed, DFT PBE
data_Sr12Zn5Cd
_cell_length_a 9.713
_cell_length_b 9.713
_cell_length_c 9.713
_cell_angle_alpha 106.99
_cell_angle_beta 112.37
_cell_angle_gamma 109.10
_space_group_name_H-M_alt 'P 1'
_space_group_IT_number 1
loop_
_space_group_symop_operation_xyz
'x,y,z'
loop_
_atom_site_label
_atom_site_type_symbol
_atom_site_fract_x
_atom_site_fract_y
_atom_site_fract_z
Zn1 Zn 0.660 0.660 0.000
Zn2 Zn 0.500 0.111 0.611
Zn3 Zn 0.000 0.000 0.000
Zn4 Zn 0.500 0.889 0.389
Zn5 Zn 0.340 0.340 0.000
Sr1 Sr 0.555 0.824 0.731
Sr2 Sr 0.093 0.824 0.269
Sr3 Sr 0.309 0.331 0.640
Sr4 Sr 0.907 0.176 0.731
Sr5 Sr 0.445 0.176 0.269
Sr6 Sr 0.812 0.058 0.247
Sr7 Sr 0.188 0.942 0.753
Sr8 Sr 0.691 0.331 0.022
Sr9 Sr 0.812 0.565 0.753
Sr10 Sr 0.188 0.435 0.247
Sr11 Sr 0.309 0.669 0.978
Sr12 Sr 0.691 0.669 0.360
Cd1 Cd 0.000 0.500 0.500
# D(E_F) in states/eV per atom: 1.33
# Calculated density in g cm⁻³: 3.52
# Magnetic moment in μB per formula unit: 0.02
# Energy of formation from the pure elements in eV/atom: -0.124
# Volume in Å³/atom: 39.1

***

# Sr2Zn5Cd12, relaxed, DFT PBE
data_Sr2Zn5Cd12
_cell_length_a 7.562
_cell_length_b 7.562
_cell_length_c 7.562
_cell_angle_alpha 83.18
_cell_angle_beta 83.18
_cell_angle_gamma 83.18
_space_group_name_H-M_alt 'P 1'
_space_group_IT_number 1
loop_
_space_group_symop_operation_xyz
'x,y,z'
loop_
_atom_site_label
_atom_site_type_symbol
_atom_site_fract_x
_atom_site_fract_y
_atom_site_fract_z
Cd1 Cd 0.706 0.294 0.000
Cd2 Cd 0.706 0.000 0.294
Cd3 Cd 0.294 0.706 0.000
Cd4 Cd 0.348 0.348 0.853
Cd5 Cd 0.652 0.147 0.652
Cd6 Cd 0.294 0.000 0.706
Cd7 Cd 0.147 0.652 0.652
Cd8 Cd 0.652 0.652 0.147
Cd9 Cd 0.000 0.706 0.294
Cd10 Cd 0.000 0.294 0.706
Cd11 Cd 0.853 0.348 0.348
Cd12 Cd 0.348 0.853 0.348
Zn1 Zn 0.000 0.500 0.000
Zn2 Zn 0.902 0.902 0.902
Zn3 Zn 0.098 0.098 0.098
Zn4 Zn 0.500 0.000 0.000
Zn5 Zn 0.000 0.000 0.500
Sr1 Sr 0.335 0.335 0.335
Sr2 Sr 0.665 0.665 0.665
# D(E_F) in states/eV per atom: 0.40
# Calculated density in g cm⁻³: 7.25
# Magnetic moment in μB per formula unit: 0.00
# Energy of formation from the pure elements in eV/atom: -0.130
# Volume in Å³/atom: 22.3

***

# Sr3ZnCd8, relaxed, DFT PBE
data_Sr3ZnCd8
_cell_length_a 6.129
_cell_length_b 6.129
_cell_length_c 10.623
_cell_angle_alpha 73.23
_cell_angle_beta 73.23
_cell_angle_gamma 60.00
_space_group_name_H-M_alt 'P 1'
_space_group_IT_number 1
loop_
_space_group_symop_operation_xyz
'x,y,z'
loop_
_atom_site_label
_atom_site_type_symbol
_atom_site_fract_x
_atom_site_fract_y
_atom_site_fract_z
Zn1 Zn 0.138 0.138 0.586
Sr1 Sr 0.008 0.008 0.977
Sr2 Sr 0.494 0.494 0.519
Sr3 Sr 0.622 0.622 0.134
Cd1 Cd 0.562 0.562 0.815
Cd2 Cd 0.562 0.061 0.815
Cd3 Cd 0.562 0.060 0.318
Cd4 Cd 0.061 0.562 0.815
Cd5 Cd 0.060 0.060 0.318
Cd6 Cd 0.810 0.810 0.569
Cd7 Cd 0.311 0.311 0.067
Cd8 Cd 0.060 0.562 0.318
# D(E_F) in states/eV per atom: 0.66
# Calculated density in g cm⁻³: 6.26
# Magnetic moment in μB per formula unit: 0.00
# Energy of formation from the pure elements in eV/atom: -0.199
# Volume in Å³/atom: 27.2